No. 1
## TmTaSi2 (PBE)

Data for a relaxed TmTaSi2 crystal.

Values from the calculation:
magnetic moment: 0.0 μB per formula unit
V: 278.4 Å³ per cell
final energy: -7.351 eV per atom
SG: P2/c

CIF file:
```
data_TmTaSi2
_chemical_formula_sum 'Tm4 Ta4 Si8'
_cell_length_a 5.274
_cell_length_b 5.325
_cell_length_c 10.263
_cell_angle_alpha 90.00
_cell_angle_beta 104.97
_cell_angle_gamma 90.00
_symmetry_space_group_name_H-M 'P 1'
_symmetry_Int_Tables_number 1
_symmetry_space_group_name_Hall 'P 1'
loop_
_atom_site_label
_atom_site_type_symbol
_atom_site_fract_x
_atom_site_fract_y
_atom_site_fract_z
Tm1 Tm 0.200 0.127 0.149
Tm2 Tm 0.200 0.873 0.649
Tm3 Tm 0.800 0.127 0.351
Tm4 Tm 0.800 0.873 0.851
Ta1 Ta 0.302 0.368 0.858
Ta2 Ta 0.302 0.632 0.358
Ta3 Ta 0.698 0.368 0.642
Ta4 Ta 0.698 0.632 0.142
Si1 Si 0.166 0.375 0.585
Si2 Si 0.166 0.625 0.085
Si3 Si 0.341 0.137 0.429
Si4 Si 0.341 0.863 0.929
Si5 Si 0.659 0.137 0.071
Si6 Si 0.659 0.863 0.571
Si7 Si 0.834 0.375 0.915
Si8 Si 0.834 0.625 0.415
```


No. 2
## TmTaSi2 (PBE)

Data for a relaxed TmTaSi2 crystal.

Values from the calculation:
magnetic moment: 0.0 μB per formula unit
V: 236.2 Å³ per cell
final energy: -7.172 eV per atom
SG: R-3m

CIF file:
```
data_TmTaSi2
_chemical_formula_sum 'Tm3 Ta3 Si6'
_cell_length_a 3.777
_cell_length_b 3.777
_cell_length_c 19.124
_cell_angle_alpha 90.00
_cell_angle_beta 90.00
_cell_angle_gamma 120.00
_symmetry_space_group_name_H-M 'P 1'
_symmetry_Int_Tables_number 1
_symmetry_space_group_name_Hall 'P 1'
loop_
_atom_site_label
_atom_site_type_symbol
_atom_site_fract_x
_atom_site_fract_y
_atom_site_fract_z
Tm1 Tm 0.000 0.000 0.000
Tm2 Tm 0.333 0.667 0.667
Tm3 Tm 0.667 0.333 0.333
Ta1 Ta 0.000 0.000 0.500
Ta2 Ta 0.333 0.667 0.167
Ta3 Ta 0.667 0.333 0.833
Si1 Si 0.000 0.000 0.241
Si2 Si 0.000 0.000 0.759
Si3 Si 0.333 0.667 0.426
Si4 Si 0.333 0.667 0.908
Si5 Si 0.667 0.333 0.092
Si6 Si 0.667 0.333 0.574
```


No. 3
## UTaSi2 (PBE)

Data for a relaxed UTaSi2 crystal.

Values from the calculation:
magnetic moment: 1.9 μB per formula unit
V: 236.1 Å³ per cell
final energy: -8.632 eV per atom
SG: R-3m

CIF file:
```
data_UTaSi2
_chemical_formula_sum 'U3 Ta3 Si6'
_cell_length_a 3.761
_cell_length_b 3.761
_cell_length_c 19.266
_cell_angle_alpha 90.00
_cell_angle_beta 90.00
_cell_angle_gamma 120.00
_symmetry_space_group_name_H-M 'P 1'
_symmetry_Int_Tables_number 1
_symmetry_space_group_name_Hall 'P 1'
loop_
_atom_site_label
_atom_site_type_symbol
_atom_site_fract_x
_atom_site_fract_y
_atom_site_fract_z
U1 U 0.000 0.000 0.000
U2 U 0.333 0.667 0.667
U3 U 0.667 0.333 0.333
Ta1 Ta 0.000 0.000 0.500
Ta2 Ta 0.333 0.667 0.167
Ta3 Ta 0.667 0.333 0.833
Si1 Si 0.000 0.000 0.241
Si2 Si 0.000 0.000 0.759
Si3 Si 0.333 0.667 0.426
Si4 Si 0.333 0.667 0.907
Si5 Si 0.667 0.333 0.093
Si6 Si 0.667 0.333 0.574
```


No. 4
## U2Ta3Si4 (PBE)

Data for a relaxed U2Ta3Si4 crystal.

Values from the calculation:
magnetic moment: 4.5 μB per formula unit
V: 319.1 Å³ per cell
final energy: -9.387 eV per atom
SG: P2_1/c

CIF file:
```
data_U2Ta3Si4
_chemical_formula_sum 'U4 Ta6 Si8'
_cell_length_a 7.023
_cell_length_b 7.028
_cell_length_c 6.862
_cell_angle_alpha 90.00
_cell_angle_beta 109.58
_cell_angle_gamma 90.00
_symmetry_space_group_name_H-M 'P 1'
_symmetry_Int_Tables_number 1
_symmetry_space_group_name_Hall 'P 1'
loop_
_atom_site_label
_atom_site_type_symbol
_atom_site_fract_x
_atom_site_fract_y
_atom_site_fract_z
U1 U 0.183 0.166 0.061
U2 U 0.183 0.334 0.561
U3 U 0.817 0.666 0.439
U4 U 0.817 0.834 0.939
Ta1 Ta 0.251 0.674 0.248
Ta2 Ta 0.251 0.826 0.748
Ta3 Ta 0.500 0.000 0.500
Ta4 Ta 0.500 0.500 0.000
Ta5 Ta 0.749 0.174 0.252
Ta6 Ta 0.749 0.326 0.752
Si1 Si 0.082 0.539 0.865
Si2 Si 0.082 0.961 0.365
Si3 Si 0.493 0.127 0.870
Si4 Si 0.493 0.373 0.370
Si5 Si 0.507 0.627 0.630
Si6 Si 0.507 0.873 0.130
Si7 Si 0.918 0.039 0.635
Si8 Si 0.918 0.461 0.135
```


No. 5
## Ta2VSi (PBE)

Data for a relaxed Ta2VSi crystal.

Values from the calculation:
magnetic moment: 0.0 μB per formula unit
V: 198.3 Å³ per cell
final energy: -9.436 eV per atom
SG: R-3m

CIF file:
```
data_Ta2VSi
_chemical_formula_sum 'Ta6 V3 Si3'
_cell_length_a 3.069
_cell_length_b 3.069
_cell_length_c 24.305
_cell_angle_alpha 90.00
_cell_angle_beta 90.00
_cell_angle_gamma 120.00
_symmetry_space_group_name_H-M 'P 1'
_symmetry_Int_Tables_number 1
_symmetry_space_group_name_Hall 'P 1'
loop_
_atom_site_label
_atom_site_type_symbol
_atom_site_fract_x
_atom_site_fract_y
_atom_site_fract_z
Ta1 Ta 0.000 0.000 0.250
Ta2 Ta 0.000 0.000 0.750
Ta3 Ta 0.333 0.667 0.416
Ta4 Ta 0.333 0.667 0.917
Ta5 Ta 0.667 0.333 0.083
Ta6 Ta 0.667 0.333 0.584
V1 V 0.000 0.000 0.500
V2 V 0.333 0.667 0.167
V3 V 0.667 0.333 0.833
Si1 Si 0.000 0.000 0.000
Si2 Si 0.333 0.667 0.667
Si3 Si 0.667 0.333 0.333
```


No. 6
## TaVSi2 (PBE)

Data for a relaxed TaVSi2 crystal.

Values from the calculation:
magnetic moment: 0.7 μB per formula unit
V: 57.3 Å³ per cell
final energy: -8.110 eV per atom
SG: P4/mmm

CIF file:
```
data_TaVSi2
_chemical_formula_sum 'Ta1 V1 Si2'
_cell_length_a 2.830
_cell_length_b 2.830
_cell_length_c 7.151
_cell_angle_alpha 90.00
_cell_angle_beta 90.00
_cell_angle_gamma 90.00
_symmetry_space_group_name_H-M 'P 1'
_symmetry_Int_Tables_number 1
_symmetry_space_group_name_Hall 'P 1'
loop_
_atom_site_label
_atom_site_type_symbol
_atom_site_fract_x
_atom_site_fract_y
_atom_site_fract_z
Ta1 Ta 0.000 0.000 0.000
V1 V 0.000 0.000 0.500
Si1 Si 0.500 0.500 0.271
Si2 Si 0.500 0.500 0.729
```


No. 7
## TaV2Si (PBE)

Data for a relaxed TaV2Si crystal.

Values from the calculation:
magnetic moment: 0.0 μB per formula unit
V: 57.4 Å³ per cell
final energy: -9.166 eV per atom
SG: P4/mmm

CIF file:
```
data_TaV2Si
_chemical_formula_sum 'Ta1 V2 Si1'
_cell_length_a 4.116
_cell_length_b 4.116
_cell_length_c 3.389
_cell_angle_alpha 90.00
_cell_angle_beta 90.00
_cell_angle_gamma 90.00
_symmetry_space_group_name_H-M 'P 1'
_symmetry_Int_Tables_number 1
_symmetry_space_group_name_Hall 'P 1'
loop_
_atom_site_label
_atom_site_type_symbol
_atom_site_fract_x
_atom_site_fract_y
_atom_site_fract_z
Ta1 Ta 0.000 0.000 0.000
V1 V 0.000 0.500 0.500
V2 V 0.500 0.000 0.500
Si1 Si 0.500 0.500 0.000
```


No. 8
## TaVSi (PBE)

Data for a relaxed TaVSi crystal.

Values from the calculation:
magnetic moment: 0.0 μB per formula unit
V: 265.2 Å³ per cell
final energy: -9.397 eV per atom
SG: P2_1/m

CIF file:
```
data_TaVSi
_chemical_formula_sum 'Ta6 V6 Si6'
_cell_length_a 6.713
_cell_length_b 3.387
_cell_length_c 11.665
_cell_angle_alpha 90.00
_cell_angle_beta 90.15
_cell_angle_gamma 90.00
_symmetry_space_group_name_H-M 'P 1'
_symmetry_Int_Tables_number 1
_symmetry_space_group_name_Hall 'P 1'
loop_
_atom_site_label
_atom_site_type_symbol
_atom_site_fract_x
_atom_site_fract_y
_atom_site_fract_z
Ta1 Ta 0.045 0.250 0.383
Ta2 Ta 0.147 0.250 0.090
Ta3 Ta 0.453 0.750 0.720
Ta4 Ta 0.547 0.250 0.280
Ta5 Ta 0.853 0.750 0.910
Ta6 Ta 0.955 0.750 0.617
V1 V 0.125 0.250 0.795
V2 V 0.373 0.750 0.458
V3 V 0.494 0.750 0.084
V4 V 0.506 0.250 0.916
V5 V 0.627 0.250 0.542
V6 V 0.875 0.750 0.205
Si1 Si 0.246 0.750 0.925
Si2 Si 0.248 0.750 0.252
Si3 Si 0.250 0.250 0.590
Si4 Si 0.750 0.750 0.410
Si5 Si 0.752 0.250 0.748
Si6 Si 0.754 0.250 0.075
```


No. 9
## TaVSi3 (PBE)

Data for a relaxed TaVSi3 crystal.

Values from the calculation:
magnetic moment: 0.7 μB per formula unit
V: 86.4 Å³ per cell
final energy: -6.578 eV per atom
SG: Pm-3m

CIF file:
```
data_TaVSi3
_chemical_formula_sum 'Ta1 V1 Si3'
_cell_length_a 4.421
_cell_length_b 4.421
_cell_length_c 4.421
_cell_angle_alpha 90.00
_cell_angle_beta 90.00
_cell_angle_gamma 90.00
_symmetry_space_group_name_H-M 'P 1'
_symmetry_Int_Tables_number 1
_symmetry_space_group_name_Hall 'P 1'
loop_
_atom_site_label
_atom_site_type_symbol
_atom_site_fract_x
_atom_site_fract_y
_atom_site_fract_z
Ta1 Ta 0.000 0.000 0.000
V1 V 0.500 0.500 0.500
Si1 Si 0.000 0.500 0.500
Si2 Si 0.500 0.000 0.500
Si3 Si 0.500 0.500 0.000
```


No. 10
## TaV2Si (PBE)

Data for a relaxed TaV2Si crystal.

Values from the calculation:
magnetic moment: 0.0 μB per formula unit
V: 58.0 Å³ per cell
final energy: -9.202 eV per atom
SG: P4/mmm

CIF file:
```
data_TaV2Si
_chemical_formula_sum 'Ta1 V2 Si1'
_cell_length_a 3.218
_cell_length_b 3.218
_cell_length_c 5.596
_cell_angle_alpha 90.00
_cell_angle_beta 90.00
_cell_angle_gamma 90.00
_symmetry_space_group_name_H-M 'P 1'
_symmetry_Int_Tables_number 1
_symmetry_space_group_name_Hall 'P 1'
loop_
_atom_site_label
_atom_site_type_symbol
_atom_site_fract_x
_atom_site_fract_y
_atom_site_fract_z
Ta1 Ta 0.000 0.000 0.000
V1 V 0.500 0.500 0.280
V2 V 0.500 0.500 0.720
Si1 Si 0.000 0.000 0.500
```


No. 11
## TaVSi2 (PBE)

Data for a relaxed TaVSi2 crystal.

Values from the calculation:
magnetic moment: 0.0 μB per formula unit
V: 252.2 Å³ per cell
final energy: -7.784 eV per atom
SG: I-42d

CIF file:
```
data_TaVSi2
_chemical_formula_sum 'Ta4 V4 Si8'
_cell_length_a 3.727
_cell_length_b 3.727
_cell_length_c 18.156
_cell_angle_alpha 90.00
_cell_angle_beta 90.00
_cell_angle_gamma 90.00
_symmetry_space_group_name_H-M 'P 1'
_symmetry_Int_Tables_number 1
_symmetry_space_group_name_Hall 'P 1'
loop_
_atom_site_label
_atom_site_type_symbol
_atom_site_fract_x
_atom_site_fract_y
_atom_site_fract_z
Ta1 Ta 0.000 0.000 0.000
Ta2 Ta 0.000 0.500 0.250
Ta3 Ta 0.500 0.000 0.750
Ta4 Ta 0.500 0.500 0.500
V1 V 0.000 0.000 0.500
V2 V 0.000 0.500 0.750
V3 V 0.500 0.000 0.250
V4 V 0.500 0.500 0.000
Si1 Si 0.227 0.250 0.625
Si2 Si 0.250 0.727 0.875
Si3 Si 0.250 0.773 0.375
Si4 Si 0.273 0.250 0.125
Si5 Si 0.727 0.750 0.125
Si6 Si 0.750 0.227 0.375
Si7 Si 0.750 0.273 0.875
Si8 Si 0.773 0.750 0.625
```